[1]
Na2ZnSi3O8 after structural relaxation, computed with PBE.

Structure (extended XYZ):
```
28
Lattice="6.472 0.000 0.000 0.000 8.745 0.000 -1.584 0.000 6.586" Properties=species:S:1:pos:R:3 pbc="T T T"
Na -0.144 0.000 3.103
Na 1.797 4.879 1.457
Na 3.091 0.506 5.130
Na 5.033 4.372 3.484
Zn 2.028 3.232 4.023
Zn 2.860 7.604 2.563
Si -0.959 7.559 6.515
Si 0.198 1.590 5.927
Si 1.135 6.120 4.826
Si 3.753 1.747 1.760
Si 4.690 5.962 0.659
Si 5.848 3.187 0.071
O -0.898 0.343 5.875
O -0.402 6.520 5.361
O -0.579 2.912 6.547
O 1.293 7.411 1.370
O 0.769 1.783 4.436
O 0.971 4.877 3.792
O 1.827 7.454 4.239
O 2.994 1.197 0.376
O 1.895 5.570 6.211
O 3.061 3.082 2.347
O 3.917 0.505 2.795
O 4.119 6.155 2.150
O 3.596 3.039 5.216
O 5.467 7.284 0.040
O 5.290 2.148 1.226
O 5.787 4.716 0.711
```

Summary:
Total moment in μB per cell: 0.0
Uncorrected energy in eV/atom: -6.710
Energy relative to the elements, uncorrected in eV per atom: -2.435
N(E_F) in states/eV per atom: 0.00

=====

[2]
YCo2N2 after structural relaxation, computed with PBE.

Structure (extended XYZ):
```
5
Lattice="-1.854 1.854 3.938 1.854 -1.854 3.938 1.854 1.854 -3.938" Properties=species:S:1:pos:R:3 pbc="T T T"
Y 0.000 0.000 0.000
Co 0.000 0.000 2.634
Co 0.000 0.000 5.242
N 1.854 0.000 1.969
N 0.000 1.854 1.969
```

Summary:
Total moment in μB per cell: 0.0
Uncorrected energy in eV/atom: -7.733
Energy relative to the elements, uncorrected in eV per atom: -0.267
N(E_F) in states/eV per atom: 0.32
Energy above the most stable polymorph in this dataset in meV/atom: 0

=====

[3]
Zn2InP after structural relaxation, computed with PBE.

Structure (extended XYZ):
```
4
Lattice="-1.880 2.553 3.984 1.880 -2.553 3.984 1.880 2.553 -3.984" Properties=species:S:1:pos:R:3 pbc="T T T"
Zn 0.000 0.000 0.000
Zn 0.000 2.553 2.019
In 1.880 0.000 2.233
P 0.000 0.000 4.399
```

Summary:
Total moment in μB per cell: 0.0
Uncorrected energy in eV/atom: -2.452
Energy relative to the elements in kJ/mol of formula units: 86
N(E_F) in states/eV per atom: 0.33

=====

[4]
PrTh2P3 after structural relaxation, computed with PBE.

Structure (extended XYZ):
```
6
Lattice="-2.077 2.937 6.257 2.077 -2.937 6.257 2.077 2.937 -6.257" Properties=species:S:1:pos:R:3 pbc="T T T"
Pr 0.000 0.000 0.000
Th 0.000 0.000 4.187
Th 0.000 0.000 8.326
P 2.077 0.000 2.133
P 0.000 2.937 0.000
P 0.000 2.937 4.124
```

Summary:
Total moment in μB per cell: 0.0
Uncorrected energy in eV/atom: -7.532
Energy relative to the elements in kJ/mol of formula units: -901
N(E_F) in states/eV per atom: 0.40